No. 1
Material: MgMn2Zn
Method: DFT, PBE
State: optimized geometry

CIF file:
```
data_MgMn2Zn
_chemical_formula_sum 'Mg1 Mn2 Zn1'
_space_group_name_H-M_alt 'P m m m'
_space_group_IT_number 47
_space_group_name_Hall '-P 2 2'
_cell_length_a 2.856
_cell_length_b 3.729
_cell_length_c 5.663
_cell_angle_alpha 90.00
_cell_angle_beta 90.00
_cell_angle_gamma 90.00
loop_
_atom_site_label
_atom_site_type_symbol
_atom_site_fract_x
_atom_site_fract_y
_atom_site_fract_z
Mg1 Mg 0.000 0.000 0.000
Mn1 Mn 0.500 0.500 0.266
Zn1 Zn 0.000 0.000 0.500
```

magnetization	6.4	μB/f.u.
volume	15.077	Å³/atom
E	-5.11	eV/atom
DFT formation energy	190	meV per atom



No. 2
Material: Mg2MnZn
Method: DFT, PBE
State: optimized geometry

CIF file:
```
data_Mg2MnZn
_chemical_formula_sum 'Mg2 Mn1 Zn1'
_space_group_name_H-M_alt 'P 4/m m m'
_space_group_IT_number 123
_space_group_name_Hall '-P 4 2'
_cell_length_a 2.963
_cell_length_b 2.963
_cell_length_c 7.946
_cell_angle_alpha 90.00
_cell_angle_beta 90.00
_cell_angle_gamma 90.00
loop_
_atom_site_label
_atom_site_type_symbol
_atom_site_fract_x
_atom_site_fract_y
_atom_site_fract_z
Mg1 Mg 0.000 0.000 0.245
Mn1 Mn 0.500 0.500 0.000
Zn1 Zn 0.500 0.500 0.500
```

magnetization	3.2	μB/f.u.
volume	17.437	Å³/atom
E	-3.29	eV/atom
DFT formation energy	115	meV per atom



No. 3
Material: MgMn4Zn
Method: DFT, PBE
State: optimized geometry

CIF file:
```
data_MgMn4Zn
_chemical_formula_sum 'Mg4 Mn16 Zn4'
_space_group_name_H-M_alt 'F -4 3 m'
_space_group_IT_number 216
_space_group_name_Hall 'F -4 2 3'
_cell_length_a 6.725
_cell_length_b 6.725
_cell_length_c 6.725
_cell_angle_alpha 90.00
_cell_angle_beta 90.00
_cell_angle_gamma 90.00
loop_
_atom_site_label
_atom_site_type_symbol
_atom_site_fract_x
_atom_site_fract_y
_atom_site_fract_z
Mg1 Mg 0.000 0.000 0.000
Mn1 Mn 0.125 0.125 0.625
Zn1 Zn 0.250 0.250 0.250
```

magnetization	0.0	μB/f.u.
volume	12.673	Å³/atom
E	-6.32	eV/atom
DFT formation energy	266	meV per atom



No. 4
Material: Mg2MnZn
Method: DFT, PBE
State: optimized geometry

CIF file:
```
data_Mg2MnZn
_chemical_formula_sum 'Mg4 Mn2 Zn2'
_space_group_name_H-M_alt 'C 1 2/m 1'
_space_group_IT_number 12
_space_group_name_Hall '-C 2y'
_cell_length_a 5.878
_cell_length_b 7.913
_cell_length_c 3.023
_cell_angle_alpha 90.00
_cell_angle_beta 90.48
_cell_angle_gamma 90.00
loop_
_atom_site_label
_atom_site_type_symbol
_atom_site_fract_x
_atom_site_fract_y
_atom_site_fract_z
Mg1 Mg 0.250 0.250 0.000
Mn1 Mn 0.000 0.000 0.500
Zn1 Zn 0.000 0.500 0.500
```

magnetization	3.3	μB/f.u.
volume	17.575	Å³/atom
E	-3.28	eV/atom
DFT formation energy	127	meV per atom



No. 5
Material: MgMn2Zn
Method: DFT, PBE
State: optimized geometry

CIF file:
```
data_MgMn2Zn
_chemical_formula_sum 'Mg4 Mn8 Zn4'
_space_group_name_H-M_alt 'F -4 3 m'
_space_group_IT_number 216
_space_group_name_Hall 'F -4 2 3'
_cell_length_a 6.327
_cell_length_b 6.327
_cell_length_c 6.327
_cell_angle_alpha 90.00
_cell_angle_beta 90.00
_cell_angle_gamma 90.00
loop_
_atom_site_label
_atom_site_type_symbol
_atom_site_fract_x
_atom_site_fract_y
_atom_site_fract_z
Mg1 Mg 0.000 0.000 0.000
Mn1 Mn 0.000 0.000 0.500
Mn2 Mn 0.250 0.250 0.250
Zn1 Zn 0.250 0.250 0.750
```

magnetization	7.2	μB/f.u.
volume	15.832	Å³/atom
E	-5.01	eV/atom
DFT formation energy	296	meV per atom



No. 6
Material: Mg2MnZn
Method: DFT, PBE
State: optimized geometry

CIF file:
```
data_Mg2MnZn
_chemical_formula_sum 'Mg6 Mn3 Zn3'
_space_group_name_H-M_alt 'R -3 m'
_space_group_IT_number 166
_space_group_name_Hall '-R 3 2"'
_cell_length_a 2.9878
_cell_length_b 2.9878
_cell_length_c 28.1690
_cell_angle_alpha 90.00
_cell_angle_beta 90.00
_cell_angle_gamma 120.00
loop_
_atom_site_label
_atom_site_type_symbol
_atom_site_fract_x
_atom_site_fract_y
_atom_site_fract_z
Mg1 Mg 0.0000 0.0000 0.2485
Mn1 Mn 0.0000 0.0000 0.5000
Zn1 Zn 0.0000 0.0000 0.0000
```

magnetization	3.5	μB/f.u.
volume	18.148	Å³/atom
E	-3.19	eV/atom
DFT formation energy	217	meV per atom



The lowest volume belongs to which entry? MgMn4Zn



Which of these has the lowest volume? MgMn4Zn



Which of these has the highest volume? number 6



magnetization of number 6 (Mg2MnZn)? 3.5 μB/f.u.